Run a
{"formula": "BSbPdI2", "functional": "PBE", "state": "optimized geometry", "lattice": [[5.0092, 0.0000, 0.0000], [0.0000, 5.0092, 0.0000], [0.0000, 0.0000, 4.8793]], "species": ["B", "Sb", "Pd", "I", "I"], "fractional_positions": [[0.0000, 0.0000, 0.0000], [0.0000, 0.0000, 0.5000], [0.5000, 0.5000, 0.5000], [0.0000, 0.5000, 0.0000], [0.5000, 0.0000, 0.0000]], "magnetic_moment_mub_per_cell": 0.00, "spacegroup": "P4/mmm", "vol_a3_per_atom": 24.49}

***

Run b
{"formula": "BSbPdI2", "functional": "PBE", "state": "optimized geometry", "lattice": [[5.5684, 0.0000, 0.0000], [0.0000, 5.5684, 0.0000], [0.0000, 0.0000, 5.1381]], "species": ["B", "Sb", "Pd", "I", "I"], "fractional_positions": [[0.0000, 0.0000, 0.0000], [0.5000, 0.5000, 0.0000], [0.5000, 0.5000, 0.5000], [0.0000, 0.5000, 0.5000], [0.5000, 0.0000, 0.5000]], "magnetic_moment_mub_per_cell": 0.00, "spacegroup": "P4/mmm", "vol_a3_per_atom": 31.86}

***

Most stable to least stable, the ends of the list are run a and run b.